1.
This record from Alexandria describes an optimized crystal structure of SbPH4. The functional is PBE. Values from VASP.

Quantum ESPRESSO input file:
```
&SYSTEM
  ibrav = 0, nat = 6, ntyp = 3
/
ATOMIC_SPECIES
Sb 121.76 Sb.upf
P 30.97 P.upf
H 1.01 H.upf
CELL_PARAMETERS angstrom
4.5430 0.0000 0.0000
-2.1481 4.0174 0.0000
-1.8584 -1.3290 5.4787
ATOMIC_POSITIONS crystal
Sb 0.0000 0.0000 0.0000
P 0.0877 0.0296 0.4566
H 0.1189 0.4286 0.0358
H 0.4484 0.1229 0.0602
H 0.4601 0.1288 0.5416
H 0.9695 0.6733 0.4280
```

Summary:
total energy = -22.24 eV per formula unit
symmetry = P1



2.
This record from Alexandria describes an optimized crystal structure of SbP2H. The functional is PBE. Values from VASP.

Quantum ESPRESSO input file:
```
&SYSTEM
  ibrav = 0, nat = 8, ntyp = 3
/
ATOMIC_SPECIES
Sb 121.76 Sb.upf
P 30.97 P.upf
H 1.01 H.upf
CELL_PARAMETERS angstrom
-2.6294 2.6294 5.2349
2.6294 -2.6294 5.2349
2.6294 2.6294 -5.2349
ATOMIC_POSITIONS crystal
Sb 0.0000 0.0000 0.0000
Sb 0.7500 0.2500 0.5000
P 0.2196 0.6250 0.0946
P 0.3750 0.4696 0.5946
P 0.5304 0.1250 0.9054
P 0.8750 0.7804 0.4054
H 0.2500 0.7500 0.5000
H 0.5000 0.5000 0.0000
```

Summary:
total energy = -15.81 eV per formula unit
symmetry = I-42d



3.
This record from Alexandria describes an optimized crystal structure of SbP2H. The functional is PBE. Values from VASP.

Quantum ESPRESSO input file:
```
&SYSTEM
  ibrav = 0, nat = 4, ntyp = 3
/
ATOMIC_SPECIES
Sb 121.76 Sb.upf
P 30.97 P.upf
H 1.01 H.upf
CELL_PARAMETERS angstrom
0.0000 3.1811 3.1811
3.1811 0.0000 3.1811
3.1811 3.1811 0.0000
ATOMIC_POSITIONS crystal
Sb 0.0000 0.0000 0.0000
P 0.2500 0.2500 0.2500
P 0.7500 0.7500 0.7500
H 0.5000 0.5000 0.5000
```

Summary:
total energy = -14.73 eV per formula unit
symmetry = Fm-3m



Computed size of the total moment, in the same sequence as the records: 0.000, 0.000, 0.000 μB per atom.